1.
Material: AcLaCe2Se4
Method: DFT, PBE
State: relaxed

Calculated values
Magnetization: 2.0 Bohr magnetons per cell
Formation energy from raw total energies: -180.0 kJ/mol of atoms
Symmetry: P2/m (10)

a b c (Å): 4.283 7.493 7.438
angles (deg): 70.75 90.00 90.00
Element x y z (fractional)
Ac 0.000 0.500 0.500
La 0.500 0.500 0.000
Ce 0.000 0.000 0.000
Ce 0.500 0.000 0.500
Se 0.000 0.760 0.751
Se 0.000 0.240 0.249
Se 0.500 0.763 0.241
Se 0.500 0.237 0.759


2.
Material: AcLaCeSn
Method: DFT, PBE
State: relaxed

Calculated values
Magnetization: 1.2 Bohr magnetons per cell
Symmetry: F-43m (216)
DFT formation energy: -0.167 eV/atom

a b c (Å): 5.690 5.690 5.690
angles (deg): 60.00 60.00 60.00
Element x y z (fractional)
Ac 0.750 0.750 0.750
Sn 0.250 0.250 0.250
Ce 0.500 0.500 0.500
La 0.000 0.000 0.000


3.
Material: Ac3La2CeTe6
Method: DFT, PBE
State: relaxed

Calculated values
Magnetization: 1.3 Bohr magnetons per cell
Formation energy from raw total energies: -145.0 kJ/mol of atoms
Symmetry: C2/m (12)

a b c (Å): 4.620 9.350 10.395
angles (deg): 103.27 102.84 90.00
Element x y z (fractional)
Ac 0.500 0.500 0.000
Ac 0.832 0.166 0.664
Ac 0.168 0.834 0.336
La 0.834 0.668 0.669
La 0.166 0.332 0.331
Ce 0.500 0.000 0.000
Te 0.337 0.913 0.675
Te 0.669 0.578 0.338
Te 0.663 0.087 0.325
Te 0.001 0.241 0.002
Te 0.999 0.759 0.998
Te 0.331 0.422 0.662


4.
Material: Ac2La3CeTe6
Method: DFT, PBE
State: relaxed

Calculated values
Magnetization: 1.4 Bohr magnetons per cell
Formation energy from raw total energies: -146.4 kJ/mol of atoms
Symmetry: C2/m (12)

a b c (Å): 4.604 9.293 10.336
angles (deg): 103.06 102.87 90.00
Element x y z (fractional)
Ac 0.835 0.669 0.670
Ac 0.165 0.331 0.330
La 0.500 0.500 0.000
La 0.831 0.164 0.661
La 0.169 0.836 0.339
Ce 0.500 0.000 0.000
Te 0.336 0.924 0.672
Te 0.665 0.589 0.330
Te 0.664 0.076 0.328
Te 0.996 0.245 0.992
Te 0.004 0.755 0.008
Te 0.335 0.411 0.670


5.
Material: Ac3La4CeTe8
Method: DFT, PBE
State: relaxed

Calculated values
Magnetization: 1.3 Bohr magnetons per cell
Formation energy from raw total energies: -146.8 kJ/mol of atoms
Symmetry: R-3m (166)

a b c (Å): 9.265 9.271 9.265
angles (deg): 119.98 120.00 90.00
Element x y z (fractional)
Ac 0.500 0.500 0.000
Ac 0.500 0.500 0.500
Ac 0.000 0.500 0.500
La 0.500 0.000 0.000
La 0.500 0.000 0.500
La 0.000 0.000 0.000
La 0.000 0.000 0.500
Ce 0.000 0.500 0.000
Te 0.248 0.755 0.006
Te 0.248 0.755 0.496
Te 0.247 0.240 0.493
Te 0.758 0.755 0.006
Te 0.242 0.245 0.994
Te 0.753 0.760 0.507
Te 0.752 0.245 0.504
Te 0.752 0.245 0.994


6.
Material: AcLaCeTh
Method: DFT, PBE
State: relaxed

Calculated values
Magnetization: 1.8 Bohr magnetons per cell
Symmetry: F-43m (216)
DFT formation energy: 0.269 eV/atom

a b c (Å): 5.862 5.862 5.862
angles (deg): 60.00 60.00 60.00
Element x y z (fractional)
Ac 0.250 0.250 0.250
Ce 0.000 0.000 0.000
Th 0.750 0.750 0.750
La 0.500 0.500 0.500


7.
Material: AcLaCeY
Method: DFT, PBE
State: relaxed

Calculated values
Magnetization: 2.9 Bohr magnetons per cell
Symmetry: F-43m (216)
DFT formation energy: 0.205 eV/atom

a b c (Å): 5.927 5.927 5.927
angles (deg): 60.00 60.00 60.00
Element x y z (fractional)
Y 0.000 0.000 0.000
Ac 0.250 0.250 0.250
Ce 0.500 0.500 0.500
La 0.750 0.750 0.750


8.
Material: AcLaCeZn
Method: DFT, PBE
State: relaxed

Calculated values
Magnetization: 1.3 Bohr magnetons per cell
Symmetry: F-43m (216)
DFT formation energy: 0.182 eV/atom

a b c (Å): 5.621 5.621 5.621
angles (deg): 60.00 60.00 60.00
Element x y z (fractional)
Ac 0.500 0.500 0.500
Zn 0.000 0.000 0.000
Ce 0.750 0.750 0.750
La 0.250 0.250 0.250


> Look up the magnetization of the second one.

1.2 Bohr magnetons per cell


Copy entry 2 word for word.
Material: AcLaCeSn
Method: DFT, PBE
State: relaxed

Calculated values
Magnetization: 1.2 Bohr magnetons per cell
Symmetry: F-43m (216)
DFT formation energy: -0.167 eV/atom

a b c (Å): 5.690 5.690 5.690
angles (deg): 60.00 60.00 60.00
Element x y z (fractional)
Ac 0.750 0.750 0.750
Sn 0.250 0.250 0.250
Ce 0.500 0.500 0.500
La 0.000 0.000 0.000


> Which of these has the highest magnetization?

AcLaCeY